Hf2Sc2Rh3 | PBE | optimized geometry

Cell lengths 4.542, 4.551, 7.948 Å; angles 90.02, 106.55, 120.10 degrees
Sites, in units of the cell vectors:
Hf1 0.757 0.379 0.136
Hf2 0.243 0.621 0.864
Sc1 0.257 0.129 0.385
Sc2 0.743 0.871 0.615
Rh1 0.000 0.000 0.000
Rh2 0.510 0.255 0.764
Rh3 0.490 0.745 0.236

Properties
Calculated volume   19.17 Å³/atom
Total moment   0.0 μB per formula unit
Formation enthalpy at 0 K   -0.8240 eV per atom